Y2Fe17: relaxed, GGA-PBE.

Cell lengths 8.3935, 8.3936, 8.2324 Å; angles 90.00, 90.00, 120.00 degrees
With the nearest neighbours (Å) after each atom.
Positions (direct):
Fe 0.6684 0.8342 0.5141  9 Fe 2.42-2.63
Fe 0.3293 0.3674 0.2500  8 Fe 2.44-2.58
Fe 0.5000 0.0000 0.0000  10 Fe 2.43-2.58
Fe 0.6707 0.6326 0.7500  8 Fe 2.44-2.58
Fe 0.5000 0.5000 0.0000  10 Fe 2.43-2.58
Fe 0.6667 0.3334 0.8925  4 Fe 2.35-2.58
Fe 0.6667 0.3334 0.6075  4 Fe 2.35-2.58
Fe 0.3674 0.0381 0.7500  8 Fe 2.44-2.58
Fe 0.0000 0.5000 0.5000  10 Fe 2.43-2.58
Fe 0.0381 0.6707 0.2500  8 Fe 2.44-2.58
Fe 0.5000 0.0000 0.5000  10 Fe 2.43-2.58
Fe 0.0000 0.5000 0.0000  10 Fe 2.43-2.58
Fe 0.1658 0.8342 0.5141  9 Fe 2.42-2.63
Fe 0.8342 0.6684 0.4859  9 Fe 2.42-2.63
Fe 0.8342 0.1658 0.0141  9 Fe 2.42-2.63
Fe 0.3333 0.6666 0.1075  4 Fe 2.35-2.58
Fe 0.3674 0.3293 0.7500  8 Fe 2.44-2.58
Fe 0.6684 0.8342 0.9859  9 Fe 2.42-2.63
Fe 0.6707 0.0381 0.7500  8 Fe 2.44-2.58
Fe 0.3316 0.1658 0.0141  9 Fe 2.42-2.63
Fe 0.6326 0.6707 0.2500  8 Fe 2.44-2.58
Fe 0.1658 0.8342 0.9859  9 Fe 2.42-2.63
Fe 0.9619 0.3293 0.7500  8 Fe 2.44-2.58
Fe 0.9619 0.6326 0.7500  8 Fe 2.44-2.58
Fe 0.5000 0.5000 0.5000  10 Fe 2.43-2.58
Fe 0.3293 0.9619 0.2500  8 Fe 2.44-2.58
Fe 0.8342 0.1658 0.4859  9 Fe 2.42-2.63
Fe 0.8342 0.6684 0.0141  9 Fe 2.42-2.63
Fe 0.3316 0.1658 0.4859  9 Fe 2.42-2.63
Fe 0.1658 0.3316 0.9859  9 Fe 2.42-2.63
Fe 0.0381 0.3674 0.2500  8 Fe 2.44-2.58
Fe 0.6326 0.9619 0.2500  8 Fe 2.44-2.58
Fe 0.3333 0.6666 0.3925  4 Fe 2.35-2.58
Fe 0.1658 0.3316 0.5141  9 Fe 2.42-2.63
Y 0.0000 0.0000 0.7500  18 Fe 2.94-3.25
Y 0.6667 0.3334 0.2500  20 Fe 2.94-3.18
Y 0.3333 0.6666 0.7500  20 Fe 2.94-3.18
Y 0.0000 0.0000 0.2500  18 Fe 2.94-3.25

## Properties
* total magnetization: 37.35 μB per formula unit
* uncorrected energy: -308.750 eV per cell
* E_form: -0.010 eV per atom

SrGePd: relaxed, GGA-PBE.

Cell lengths 4.7806, 4.7806, 4.7806 Å; angles 60.00, 60.00, 60.00 degrees
With the nearest neighbours (Å) after each atom.
Positions (direct):
Sr 0.7500 0.7500 0.7500  4 Pd 2.93
Pd 0.0000 0.0000 0.0000  4 Sr 2.93, 4 Ge 2.93
Ge 0.2500 0.2500 0.2500  4 Pd 2.93

## Properties
* uncorrected energy: -12.512 eV per cell

LiZnCuTc: relaxed, GGA-PBE.

Cell lengths 4.2104, 4.2104, 4.2104 Å; angles 60.00, 60.00, 60.00 degrees
With the nearest neighbours (Å) after each atom.
Positions (direct):
Zn 0.0000 0.0000 0.0000  4 Tc 2.58, 4 Cu 2.58
Cu 0.7500 0.7500 0.7500  4 Li 2.58, 4 Zn 2.58
Tc 0.2500 0.2500 0.2500  4 Zn 2.58, 4 Li 2.58
Li 0.5000 0.5000 0.5000  4 Tc 2.58, 4 Cu 2.58

## Properties
* total magnetization: 1.81 μB per formula unit
* uncorrected energy: -16.100 eV per cell
* E above lowest polymorph: 17 meV per atom

Nb2TeSe3: relaxed, GGA-PBE.

Cell lengths 3.5297, 3.5297, 24.6999 Å; angles 90.00, 90.00, 60.00 degrees
With the nearest neighbours (Å) after each atom.
Positions (direct):
Se 0.7581 0.7581 0.5675  3 Nb 2.63
Se 0.2581 0.2581 0.0699  3 Nb 2.60
Se 0.7581 0.7581 0.4325  3 Nb 2.63
Nb 0.9248 0.9248 0.0044  3 Se 2.60, 3 Te 2.82
Nb 0.4248 0.4248 0.5000  6 Se 2.63
Te 0.2581 0.2581 0.9257  3 Nb 2.82

## Properties
* total magnetization: 1.11 μB per formula unit
* uncorrected energy: -38.174 eV per cell
* E above lowest polymorph: 5 meV per atom

SrSmAsO: relaxed, GGA-PBE.

Cell lengths 5.1331, 5.1331, 8.5844 Å; angles 90.00, 90.00, 90.00 degrees
With the nearest neighbours (Å) after each atom.
Positions (direct):
As 0.7500 0.7500 0.3635  4 Sm 2.82
As 0.2500 0.2500 0.6365  4 Sm 2.82
O 0.2500 0.7500 0.0000  4 Sr 2.57
O 0.7500 0.2500 0.0000  4 Sr 2.57
Sm 0.2500 0.7500 0.5000  4 As 2.82
Sm 0.7500 0.2500 0.5000  4 As 2.82
Sr 0.2500 0.2500 0.0082  4 O 2.57
Sr 0.7500 0.7500 0.9918  4 O 2.57

## Properties
* total magnetization: 0.04 μB per formula unit
* uncorrected energy: -44.117 eV per cell
* E above lowest polymorph: 493 meV per atom

Hf2NiAu: relaxed, GGA-PBE.

Cell lengths 4.6072, 4.6072, 4.6072 Å; angles 60.00, 60.00, 60.00 degrees
With the nearest neighbours (Å) after each atom.
Positions (direct):
Hf 0.0000 0.0000 0.0000  4 Hf 2.82, 4 Au 2.82
Hf 0.7500 0.7500 0.7500  4 Ni 2.82, 4 Hf 2.82
Au 0.2500 0.2500 0.2500  4 Hf 2.82, 4 Ni 2.82
Ni 0.5000 0.5000 0.5000  4 Hf 2.82, 4 Au 2.82

## Properties
* total magnetization: 1.00 μB per formula unit
* uncorrected energy: -29.106 eV per cell
* E_form: -0.090 eV per atom

Si2AsAu2: relaxed, GGA-PBE.

Cell lengths 6.0777, 6.0777, 6.0777 Å; angles 139.76, 139.76, 58.21 degrees
With the nearest neighbours (Å) after each atom.
Positions (direct):
Au 0.7500 0.2500 0.5000  4 Si 2.57
Au 0.2500 0.7500 0.5000  4 Si 2.57
Si 0.6086 0.6086 0.0000  1 Si 2.31, 4 Au 2.57
Si 0.3914 0.3914 0.0000  1 Si 2.31, 4 Au 2.57
As 0.0000 0.0000 0.0000  8 Si 3.17, 8 Au 3.38

## Properties
* uncorrected energy: -20.447 eV per cell
* E above lowest polymorph: 0 meV per atom

NdThAs: relaxed, GGA-PBE.

Cell lengths 4.9892, 4.9892, 4.9892 Å; angles 60.00, 60.00, 60.00 degrees
With the nearest neighbours (Å) after each atom.
Positions (direct):
Th 0.7500 0.7500 0.7500  4 Nd 3.06
As 0.2500 0.2500 0.2500  4 Nd 3.06
Nd 0.0000 0.0000 0.0000  4 As 3.06, 4 Th 3.06

## Properties
* total magnetization: 1.28 μB per formula unit
* uncorrected energy: -15.757 eV per cell

- Among the records above, which one has the highest uncorrected energy?
  SrGePd

- The highest uncorrected energy belongs to which entry?
  SrGePd

Repeat the third record exactly.
LiZnCuTc: relaxed, GGA-PBE.

Cell lengths 4.2104, 4.2104, 4.2104 Å; angles 60.00, 60.00, 60.00 degrees
With the nearest neighbours (Å) after each atom.
Positions (direct):
Zn 0.0000 0.0000 0.0000  4 Tc 2.58, 4 Cu 2.58
Cu 0.7500 0.7500 0.7500  4 Li 2.58, 4 Zn 2.58
Tc 0.2500 0.2500 0.2500  4 Zn 2.58, 4 Li 2.58
Li 0.5000 0.5000 0.5000  4 Tc 2.58, 4 Cu 2.58

## Properties
* total magnetization: 1.81 μB per formula unit
* uncorrected energy: -16.100 eV per cell
* E above lowest polymorph: 17 meV per atom

- Number 4 is which compound?
  Nb2TeSe3